[1]
Below is a crystal of Si2Pd2Au relaxed with PBEsol, with properties calculated at the meta-GGA SCAN level.

Summary:
total DFT energy (no corrections): -156.07 eV for the cell shown
formation energy from raw total energies: -266 meV/atom

Unit cell a=3.6118 b=3.6118 c=6.4247 alpha=106.33 beta=106.33 gamma=90.00
Positions (direct):
Si1 0.2500 0.7500 0.5000
Si2 0.7500 0.2500 0.5000
Au1 0.0000 0.0000 0.0000
Pd1 0.3843 0.3843 0.7686
Pd2 0.6157 0.6157 0.2314

[2]
Below is a crystal of GaSb3H relaxed with PBEsol, with properties calculated at the meta-GGA SCAN level.

Summary:
total DFT energy (no corrections): -126.31 eV for the cell shown

Unit cell a=5.2525 b=5.2525 c=5.2525 alpha=90.00 beta=90.00 gamma=90.00
Site moments in Bohr magnetons follow the coordinates.
Positions (direct):
Sb1 0.0000 0.5000 0.0000  0.01
Sb2 0.0000 0.0000 0.5000  0.01
Sb3 0.5000 0.0000 0.0000  0.01
Ga1 0.0000 0.0000 0.0000  0.00
H1 0.5000 0.5000 0.5000  0.33

[3]
Below is a crystal of TcSO2F relaxed with PBEsol, with properties calculated at the meta-GGA SCAN level.

Summary:
total DFT energy (no corrections): -60.18 eV for the cell shown
formation energy from raw total energies: 103 meV/atom

Unit cell a=3.5954 b=3.5954 c=4.8406 alpha=90.00 beta=90.00 gamma=90.00
Site moments in Bohr magnetons follow the coordinates.
Positions (direct):
S1 0.0000 0.0000 0.0000  0.02
Tc1 0.5000 0.5000 0.5000  4.32
O1 0.0000 0.5000 0.0000  0.06
O2 0.5000 0.0000 0.0000  0.06
F1 0.0000 0.0000 0.5000  0.10

Which value of total DFT energy (no corrections) does entry 3 give?
-60.18 eV for the cell shown